# ZrRePS2 PBEsol relaxed
# - Total DFT energy (no corrections): -32.4 eV for the cell shown
# - E_form (uncorrected): 0.93 eV per atom
# - ρ: 5.27 Mg/m³
# - Crystal system: tetragonal
data_ZrRePS2
_cell_length_a 4.779
_cell_length_b 4.779
_cell_length_c 5.138
_cell_angle_alpha 90.00
_cell_angle_beta 90.00
_cell_angle_gamma 90.00
_symmetry_space_group_name_H-M 'P 4/m m m'
_symmetry_Int_Tables_number 123
_symmetry_space_group_name_Hall '-P 4 2'
loop_
_atom_site_label
_atom_site_type_symbol
_atom_site_fract_x
_atom_site_fract_y
_atom_site_fract_z
Zr1 Zr 0.000 0.000 0.000
Re1 Re 0.500 0.500 0.500
P1 P 0.000 0.000 0.500
S1 S 0.000 0.500 0.000



# Re2SbP PBEsol relaxed
# - Total DFT energy (no corrections): -69.0 eV for the cell shown
# - E_form (uncorrected): 0.63 eV per atom
# - ρ: 13.45 Mg/m³
# - E above lowest polymorph: 0.253 eV/atom
# - Crystal system: orthorhombic
data_Re2SbP
_cell_length_a 3.047
_cell_length_b 5.035
_cell_length_c 8.454
_cell_angle_alpha 90.00
_cell_angle_beta 90.00
_cell_angle_gamma 90.00
_symmetry_space_group_name_H-M 'C m m m'
_symmetry_Int_Tables_number 65
_symmetry_space_group_name_Hall '-C 2 2'
loop_
_atom_site_label
_atom_site_type_symbol
_atom_site_fract_x
_atom_site_fract_y
_atom_site_fract_z
Re1 Re 0.000 0.000 0.206
Sb1 Sb 0.000 0.500 0.500
P1 P 0.000 0.500 0.000



# ReSbP4 PBEsol relaxed
# - Total DFT energy (no corrections): -140.9 eV for the cell shown
# - E_form (uncorrected): 0.97 eV per atom
# - ρ: 7.87 Mg/m³
# - Crystal system: cubic
data_ReSbP4
_cell_length_a 7.145
_cell_length_b 7.145
_cell_length_c 7.145
_cell_angle_alpha 90.00
_cell_angle_beta 90.00
_cell_angle_gamma 90.00
_symmetry_space_group_name_H-M 'F -4 3 m'
_symmetry_Int_Tables_number 216
_symmetry_space_group_name_Hall 'F -4 2 3'
loop_
_atom_site_label
_atom_site_type_symbol
_atom_site_fract_x
_atom_site_fract_y
_atom_site_fract_z
Re1 Re 0.000 0.000 0.000
Sb1 Sb 0.250 0.250 0.750
P1 P 0.125 0.125 0.375



# ReSb2P PBEsol relaxed
# - Total DFT energy (no corrections): -50.9 eV for the cell shown
# - E_form (uncorrected): 0.69 eV per atom
# - ρ: 10.25 Mg/m³
# - Crystal system: monoclinic
data_ReSb2P
_cell_length_a 6.269
_cell_length_b 7.465
_cell_length_c 3.289
_cell_angle_alpha 90.00
_cell_angle_beta 104.15
_cell_angle_gamma 90.00
_symmetry_space_group_name_H-M 'C 1 2/m 1'
_symmetry_Int_Tables_number 12
_symmetry_space_group_name_Hall '-C 2y'
loop_
_atom_site_label
_atom_site_type_symbol
_atom_site_fract_x
_atom_site_fract_y
_atom_site_fract_z
Re1 Re 0.000 0.000 0.000
Sb1 Sb 0.250 0.250 0.500
P1 P 0.000 0.500 0.000



# Re2SbP PBEsol relaxed
# - Total DFT energy (no corrections): -142.0 eV for the cell shown
# - E_form (uncorrected): 0.38 eV per atom
# - ρ: 14.53 Mg/m³
# - E above lowest polymorph: 0.000 eV/atom
# - Crystal system: cubic
data_Re2SbP
_cell_length_a 6.215
_cell_length_b 6.215
_cell_length_c 6.215
_cell_angle_alpha 90.00
_cell_angle_beta 90.00
_cell_angle_gamma 90.00
_symmetry_space_group_name_H-M 'F m -3 m'
_symmetry_Int_Tables_number 225
_symmetry_space_group_name_Hall '-F 4 2 3'
loop_
_atom_site_label
_atom_site_type_symbol
_atom_site_fract_x
_atom_site_fract_y
_atom_site_fract_z
Re1 Re 0.250 0.250 0.250
Sb1 Sb 0.000 0.000 0.000
P1 P 0.000 0.000 0.500



# ReSbP PBEsol relaxed
# - Total DFT energy (no corrections): -46.7 eV for the cell shown
# - E_form (uncorrected): 0.10 eV per atom
# - ρ: 10.30 Mg/m³
# - Crystal system: tetragonal
data_ReSbP
_cell_length_a 3.036
_cell_length_b 3.036
_cell_length_c 11.858
_cell_angle_alpha 90.00
_cell_angle_beta 90.00
_cell_angle_gamma 90.00
_symmetry_space_group_name_H-M 'I 4 m m'
_symmetry_Int_Tables_number 107
_symmetry_space_group_name_Hall 'I 4 -2'
loop_
_atom_site_label
_atom_site_type_symbol
_atom_site_fract_x
_atom_site_fract_y
_atom_site_fract_z
Re1 Re 0.000 0.000 0.000
Sb1 Sb 0.000 0.000 0.662
P1 P 0.000 0.000 0.398



Q: What is the formula in the second record?
A: Re2SbP



Q: Which value of total DFT energy (no corrections) does entry 3 give?
A: -140.9 eV for the cell shown



Q: Among the records above, which one has the highest total DFT energy (no corrections)?
A: ZrRePS2



Please write out number 1 again, unchanged.
# ZrRePS2 PBEsol relaxed
# - Total DFT energy (no corrections): -32.4 eV for the cell shown
# - E_form (uncorrected): 0.93 eV per atom
# - ρ: 5.27 Mg/m³
# - Crystal system: tetragonal
data_ZrRePS2
_cell_length_a 4.779
_cell_length_b 4.779
_cell_length_c 5.138
_cell_angle_alpha 90.00
_cell_angle_beta 90.00
_cell_angle_gamma 90.00
_symmetry_space_group_name_H-M 'P 4/m m m'
_symmetry_Int_Tables_number 123
_symmetry_space_group_name_Hall '-P 4 2'
loop_
_atom_site_label
_atom_site_type_symbol
_atom_site_fract_x
_atom_site_fract_y
_atom_site_fract_z
Zr1 Zr 0.000 0.000 0.000
Re1 Re 0.500 0.500 0.500
P1 P 0.000 0.000 0.500
S1 S 0.000 0.500 0.000